# TmCdMo2O8 PBE with a Hubbard U optimized geometry
data_TmCdMo2O8
_chemical_formula_sum 'Tm1 Cd1 Mo2 O8'
_symmetry_space_group_name_H-M 'P 1'
_symmetry_Int_Tables_number 1
_cell_length_a 6.726
_cell_length_b 6.726
_cell_length_c 6.726
_cell_angle_alpha 134.39
_cell_angle_beta 134.39
_cell_angle_gamma 66.48
loop_
_symmetry_equiv_pos_as_xyz
'x,y,z'
loop_
_atom_site_label
_atom_site_type_symbol
_atom_site_fract_x
_atom_site_fract_y
_atom_site_fract_z
Tm1 Tm 0.000 0.000 0.000
Cd1 Cd 0.250 0.750 0.500
Mo1 Mo 0.500 0.500 0.000
Mo2 Mo 0.750 0.250 0.500
O1 O 0.240 0.678 0.082
O2 O 0.322 0.404 0.562
O3 O 0.419 0.001 0.095
O4 O 0.596 0.158 0.918
O5 O 0.676 0.581 0.582
O6 O 0.842 0.760 0.438
O7 O 0.906 0.324 0.905
O8 O 0.999 0.094 0.418
# total DFT energy (no corrections): -6.907 eV/atom
# calculated volume: 12.7 A^3/atom